This record from Alexandria describes a relaxed PtSCl2 crystal. The functional is PBE.

a b c (Å): 10.081 10.081 7.468
angles (deg): 47.55 47.55 90.00
Sites, in units of the cell vectors:
Cl (0.875, 0.125, 0.750)
S (0.250, 0.750, 0.500)
Pt (0.000, 0.000, 0.000)
S (0.500, 0.500, 0.000)
Pt (0.750, 0.250, 0.500)
Cl (0.875, 0.625, 0.250)
Cl (0.375, 0.125, 0.750)
Cl (0.875, 0.125, 0.250)

Results
VASP energy: -3.282 eV per atom
Calculated volume: 226.24 Å³ per cell
Distance to the lowest polymorph of the same formula: 0.000 eV/atom
M_tot: 0.000 μB/f.u.
Fermi-level density of states: 0.968 states/eV per atom
Formation energy from raw total energies: 0.18 eV per atom

This record from Alexandria describes a relaxed PtS2Cl crystal. The functional is PBE.

a b c (Å): 6.613 6.613 6.238
angles (deg): 57.99 57.99 90.00
Sites, in units of the cell vectors:
S (0.375, 0.301, 0.750)
Pt (0.000, 0.000, 0.000)
S (0.051, 0.625, 0.250)
Cl (0.500, 0.500, 0.000)
Pt (0.750, 0.250, 0.500)
S (0.699, 0.125, 0.250)
Cl (0.250, 0.750, 0.500)
S (0.875, 0.949, 0.750)

Results
VASP energy: -3.842 eV per atom
Calculated volume: 180.54 Å³ per cell
Distance to the lowest polymorph of the same formula: 0.458 eV/atom
M_tot: 0.000 μB/f.u.
Fermi-level density of states: 0.995 states/eV per atom
Formation energy from raw total energies: 0.19 eV per atom

This record from Alexandria describes a relaxed PtS2Cl4 crystal. The functional is PBE.

a b c (Å): 4.741 3.536 14.433
angles (deg): 106.89 106.78 89.21
Sites, in units of the cell vectors:
Cl (0.332, 0.774, 0.677)
Cl (0.988, 0.368, 0.888)
S (0.839, 0.664, 0.461)
Pt (0.000, 0.000, 0.000)
Cl (0.012, 0.632, 0.112)
Cl (0.668, 0.226, 0.323)
S (0.161, 0.336, 0.539)

Results
VASP energy: -3.175 eV per atom
Calculated volume: 220.99 Å³ per cell
M_tot: 0.000 μB/f.u.
Formation energy from raw total energies: -0.08 eV per atom

This record from Alexandria describes a relaxed PtSCl crystal. The functional is PBE.

a b c (Å): 3.581 3.583 10.537
angles (deg): 89.98 80.65 90.00
Sites, in units of the cell vectors:
Cl (0.234, 0.572, 0.949)
S (0.021, 0.572, 0.394)
Pt (0.508, 0.072, 0.420)
Pt (0.128, 0.572, 0.169)
Cl (0.402, 0.072, 0.639)
S (0.616, 0.072, 0.195)

Results
VASP energy: -4.230 eV per atom
Calculated volume: 133.41 Å³ per cell
M_tot: 0.000 μB/f.u.
Fermi-level density of states: 0.878 states/eV per atom
Formation energy from raw total energies: -0.22 eV per atom

This record from Alexandria describes a relaxed PtS6Cl crystal. The functional is PBE.

a b c (Å): 14.591 7.883 11.335
angles (deg): 31.74 24.66 32.53
Sites, in units of the cell vectors:
S (0.302, 0.841, 0.478)
S (0.746, 0.715, 0.641)
S (0.254, 0.285, 0.359)
Cl (0.000, 0.000, 0.000)
Pt (0.500, 0.000, 0.000)
S (0.403, 0.490, 0.937)
S (0.698, 0.159, 0.522)
S (0.597, 0.510, 0.063)

Results
VASP energy: -4.050 eV per atom
Calculated volume: 271.14 Å³ per cell
M_tot: 0.000 μB/f.u.
Fermi-level density of states: 0.486 states/eV per atom
Formation energy from raw total energies: 0.03 eV per atom

This record from Alexandria describes a relaxed PtSCl2 crystal. The functional is PBE.

a b c (Å): 12.184 12.184 12.184
angles (deg): 13.75 13.75 13.75
Last column: magnetic moment on the atom in μB.
Sites, in units of the cell vectors:
Cl (0.062, 0.062, 0.062)  0.01
Pt (0.000, 0.000, 0.000)  0.00
S (0.500, 0.500, 0.500)  0.19
Cl (0.938, 0.938, 0.938)  0.01

Results
VASP energy: -3.056 eV per atom
Calculated volume: 88.87 Å³ per cell
Distance to the lowest polymorph of the same formula: 0.226 eV/atom
M_tot: 0.316 μB/f.u.
Fermi-level density of states: 0.840 states/eV per atom
Formation energy from raw total energies: 0.41 eV per atom

Question: Which formula does entry 4 have?
Answer: PtSCl

Question: Which formula does entry 6 have?
Answer: PtSCl2

Question: Which value of calculated volume does entry 6 give?
Answer: 88.87 Å³ per cell